# GGA-PBE Hf5H12Ru2, optimized geometry
# - Total DFT energy (no corrections): -227.807 eV for the cell shown
# - Crystal system: monoclinic
data_Hf5H12Ru2
_cell_length_a 9.742
_cell_length_b 5.524
_cell_length_c 6.465
_cell_angle_alpha 90.00
_cell_angle_beta 101.25
_cell_angle_gamma 90.00
_space_group_name_H-M_alt 'C 1 2/m 1'
_space_group_IT_number 12
loop_
_space_group_symop_operation_xyz
'x,y,z'
'-x,-y,-z'
'-x,y,-z'
'x,-y,z'
'x+1/2,y+1/2,z'
'-x+1/2,-y+1/2,-z'
'-x+1/2,y+1/2,-z'
'x+1/2,-y+1/2,z'
loop_
_atom_site_label
_atom_site_type_symbol
_atom_site_fract_x
_atom_site_fract_y
_atom_site_fract_z
Hf1 Hf 0.000 0.000 0.000
Hf2 Hf 0.161 0.500 0.874
Hf3 Hf 0.230 0.500 0.345
H1 H 0.023 0.500 0.335
H2 H 0.062 0.000 0.355
H3 H 0.170 0.238 0.103
H4 H 0.180 0.313 0.602
Ru1 Ru 0.000 0.242 0.500

---

# GGA-PBE NbMoPS2, optimized geometry
# - Crystal system: tetragonal
# - Formation energy (no corrections): 561 meV/atom
data_NbMoPS2
_cell_length_a 4.733
_cell_length_b 4.733
_cell_length_c 4.932
_cell_angle_alpha 90.00
_cell_angle_beta 90.00
_cell_angle_gamma 90.00
_space_group_name_H-M_alt 'P 4/m m m'
_space_group_IT_number 123
_space_group_name_Hall '-P 4 2'
loop_
_atom_site_label
_atom_site_type_symbol
_atom_site_fract_x
_atom_site_fract_y
_atom_site_fract_z
Nb1 Nb 0.000 0.000 0.000
Mo1 Mo 0.500 0.500 0.500
P1 P 0.000 0.000 0.500
S1 S 0.000 0.500 0.000

---

# GGA-PBE Er3PbSN, optimized geometry
# - Crystal system: monoclinic
# - Formation energy (no corrections): -1265 meV/atom
data_Er3PbSN
_cell_length_a 8.705
_cell_length_b 3.907
_cell_length_c 9.128
_cell_angle_alpha 90.00
_cell_angle_beta 103.90
_cell_angle_gamma 90.00
_space_group_name_H-M_alt 'P 1 21/m 1'
_space_group_IT_number 11
loop_
_space_group_symop_operation_xyz
'x,y,z'
'-x,-y,-z'
'-x,y+1/2,-z'
'x,-y+1/2,z'
loop_
_atom_site_label
_atom_site_type_symbol
_atom_site_fract_x
_atom_site_fract_y
_atom_site_fract_z
Er1 Er 0.064 0.250 0.341
Er2 Er 0.344 0.250 0.988
Er3 Er 0.383 0.750 0.656
Pb1 Pb 0.315 0.750 0.283
S1 S 0.149 0.250 0.646
N1 N 0.403 0.750 0.893

---

# GGA-PBE KLiSi, optimized geometry
# - Crystal system: triclinic
# - Formation energy (no corrections): 9 meV/atom
# - ΔE to the lowest computed polymorph: 0.102 eV per atom
data_KLiSi
_cell_length_a 3.950
_cell_length_b 5.935
_cell_length_c 7.119
_cell_angle_alpha 92.13
_cell_angle_beta 106.04
_cell_angle_gamma 90.01
_space_group_name_H-M_alt 'P 1'
_space_group_IT_number 1
loop_
_space_group_symop_operation_xyz
'x,y,z'
loop_
_atom_site_label
_atom_site_type_symbol
_atom_site_fract_x
_atom_site_fract_y
_atom_site_fract_z
K1 K 0.000 0.000 0.000
K2 K 0.400 0.500 0.796
Li1 Li 0.155 0.570 0.303
Li2 Li 0.707 0.260 0.407
Si1 Si 0.266 0.000 0.525
Si2 Si 0.744 0.771 0.482

---

# GGA-PBE Li2TlS, optimized geometry
# - Crystal system: tetragonal
# - Formation energy (no corrections): -532 meV/atom
data_Li2TlS
_cell_length_a 4.757
_cell_length_b 4.757
_cell_length_c 15.578
_cell_angle_alpha 90.00
_cell_angle_beta 90.00
_cell_angle_gamma 90.00
_space_group_name_H-M_alt 'I -4 2 d'
_space_group_IT_number 122
_space_group_name_Hall 'I -4 2bw'
loop_
_atom_site_label
_atom_site_type_symbol
_atom_site_fract_x
_atom_site_fract_y
_atom_site_fract_z
Li1 Li 0.140 0.250 0.125
Tl1 Tl 0.000 0.000 0.500
S1 S 0.000 0.000 0.000

---

# GGA-PBE DyEr2Pb3, optimized geometry
# - Crystal system: monoclinic
# - ΔE to the lowest computed polymorph: 0.000 eV per atom
# - Energy of formation from the pure elements: -479 meV per atom
data_DyEr2Pb3
_cell_length_a 16.846
_cell_length_b 6.373
_cell_length_c 6.373
_cell_angle_alpha 90.00
_cell_angle_beta 100.86
_cell_angle_gamma 90.00
_space_group_name_H-M_alt 'C 1 2/c 1'
_space_group_IT_number 15
loop_
_space_group_symop_operation_xyz
'x,y,z'
'-x,-y,-z'
'-x,y,-z+1/2'
'x,-y,z+1/2'
'x+1/2,y+1/2,z'
'-x+1/2,-y+1/2,-z'
'-x+1/2,y+1/2,-z+1/2'
'x+1/2,-y+1/2,z+1/2'
loop_
_atom_site_label
_atom_site_type_symbol
_atom_site_fract_x
_atom_site_fract_y
_atom_site_fract_z
Dy1 Dy 0.000 0.126 0.250
Er1 Er 0.167 0.376 0.082
Pb1 Pb 0.000 0.375 0.750
Pb2 Pb 0.167 0.124 0.584

---

# GGA-PBE Ce3Er2ThAs6, optimized geometry
# - Crystal system: monoclinic
# - Energy of formation from the pure elements: -1456 meV per atom
data_Ce3Er2ThAs6
_cell_length_a 7.240
_cell_length_b 12.544
_cell_length_c 7.261
_cell_angle_alpha 90.00
_cell_angle_beta 109.44
_cell_angle_gamma 90.00
_space_group_name_H-M_alt 'C 1 2/m 1'
_space_group_IT_number 12
loop_
_space_group_symop_operation_xyz
'x,y,z'
'-x,-y,-z'
'-x,y,-z'
'x,-y,z'
'x+1/2,y+1/2,z'
'-x+1/2,-y+1/2,-z'
'-x+1/2,y+1/2,-z'
'x+1/2,-y+1/2,z'
loop_
_atom_site_label
_atom_site_type_symbol
_atom_site_fract_x
_atom_site_fract_y
_atom_site_fract_z
Ce1 Ce 0.000 0.000 0.000
Ce2 Ce 0.000 0.335 0.000
Er1 Er 0.000 0.167 0.500
Th1 Th 0.000 0.500 0.500
As1 As 0.243 0.000 0.744
As2 As 0.249 0.169 0.254

---

# GGA-PBE Rb2MoWAu, optimized geometry
# - Crystal system: tetragonal
# - Energy of formation from the pure elements: 1620 meV per atom
data_Rb2MoWAu
_cell_length_a 6.850
_cell_length_b 6.850
_cell_length_c 4.560
_cell_angle_alpha 90.00
_cell_angle_beta 90.00
_cell_angle_gamma 90.00
_space_group_name_H-M_alt 'P 4/m m m'
_space_group_IT_number 123
_space_group_name_Hall '-P 4 2'
loop_
_atom_site_label
_atom_site_type_symbol
_atom_site_fract_x
_atom_site_fract_y
_atom_site_fract_z
Rb1 Rb 0.000 0.500 0.000
Mo1 Mo 0.000 0.000 0.500
W1 W 0.000 0.000 0.000
Au1 Au 0.500 0.500 0.500

---

Number 6 is which compound?
DyEr2Pb3

---

Copy entry 6 word for word.
# GGA-PBE DyEr2Pb3, optimized geometry
# - Crystal system: monoclinic
# - ΔE to the lowest computed polymorph: 0.000 eV per atom
# - Energy of formation from the pure elements: -479 meV per atom
data_DyEr2Pb3
_cell_length_a 16.846
_cell_length_b 6.373
_cell_length_c 6.373
_cell_angle_alpha 90.00
_cell_angle_beta 100.86
_cell_angle_gamma 90.00
_space_group_name_H-M_alt 'C 1 2/c 1'
_space_group_IT_number 15
loop_
_space_group_symop_operation_xyz
'x,y,z'
'-x,-y,-z'
'-x,y,-z+1/2'
'x,-y,z+1/2'
'x+1/2,y+1/2,z'
'-x+1/2,-y+1/2,-z'
'-x+1/2,y+1/2,-z+1/2'
'x+1/2,-y+1/2,z+1/2'
loop_
_atom_site_label
_atom_site_type_symbol
_atom_site_fract_x
_atom_site_fract_y
_atom_site_fract_z
Dy1 Dy 0.000 0.126 0.250
Er1 Er 0.167 0.376 0.082
Pb1 Pb 0.000 0.375 0.750
Pb2 Pb 0.167 0.124 0.584

---

Please write out number 7 again, unchanged.
# GGA-PBE Ce3Er2ThAs6, optimized geometry
# - Crystal system: monoclinic
# - Energy of formation from the pure elements: -1456 meV per atom
data_Ce3Er2ThAs6
_cell_length_a 7.240
_cell_length_b 12.544
_cell_length_c 7.261
_cell_angle_alpha 90.00
_cell_angle_beta 109.44
_cell_angle_gamma 90.00
_space_group_name_H-M_alt 'C 1 2/m 1'
_space_group_IT_number 12
loop_
_space_group_symop_operation_xyz
'x,y,z'
'-x,-y,-z'
'-x,y,-z'
'x,-y,z'
'x+1/2,y+1/2,z'
'-x+1/2,-y+1/2,-z'
'-x+1/2,y+1/2,-z'
'x+1/2,-y+1/2,z'
loop_
_atom_site_label
_atom_site_type_symbol
_atom_site_fract_x
_atom_site_fract_y
_atom_site_fract_z
Ce1 Ce 0.000 0.000 0.000
Ce2 Ce 0.000 0.335 0.000
Er1 Er 0.000 0.167 0.500
Th1 Th 0.000 0.500 0.500
As1 As 0.243 0.000 0.744
As2 As 0.249 0.169 0.254